No. 1
LiErC PBE relaxed; excess energy over the best structure of this formula in the dataset = 198.3 meV per atom; symmetry = No. 139; raw total energy = -5.20 eV per atom
1.0
-1.7561 1.7561 9.7248
1.7561 -1.7561 9.7248
1.7561 1.7561 -9.7248
Li Er C
2 2 2
Direct
0.0767 0.0767 0.0000
0.9233 0.9233 0.0000
0.3111 0.3111 0.0000
0.6889 0.6889 0.0000
0.1840 0.1840 0.0000
0.8160 0.8160 0.0000

---

No. 2
LaTaMo PBE relaxed; excess energy over the best structure of this formula in the dataset = 126.9 meV per atom; symmetry = No. 42; raw total energy = -8.80 eV per atom
1.0
0.0000 2.5892 7.5122
1.6516 0.0000 7.5122
1.6516 2.5892 0.0000
La Ta Mo
1 1 1
Direct
0.0000 0.0000 0.0000
0.6947 0.6947 0.3053
0.3251 0.3251 0.6749

---

No. 3
CaAg2Sb PBE relaxed; formation energy (no corrections) = 71 meV/atom; symmetry = No. 166; raw total energy = -2.89 eV per atom
1.0
1.8269 1.0547 8.8420
-1.8269 1.0547 8.8420
0.0000 -2.1095 8.8420
Ca Ag Sb
1 2 1
Direct
0.0000 0.0000 0.0000
0.2448 0.2448 0.2448
0.7552 0.7552 0.7552
0.5000 0.5000 0.5000

---

No. 4
PmSiHRh2 PBE relaxed; symmetry = No. 63; raw total energy = -6.49 eV per atom
1.0
1.8958 -5.4355 0.0000
1.8958 5.4355 0.0000
0.0000 0.0000 7.1801
Pm Si H Rh
2 2 2 4
Direct
0.0565 0.9435 0.7500
0.9435 0.0565 0.2500
0.2229 0.7771 0.2500
0.7771 0.2229 0.7500
0.5000 0.5000 0.0000
0.5000 0.5000 0.5000
0.3409 0.6591 0.5538
0.3409 0.6591 0.9462
0.6591 0.3409 0.0538
0.6591 0.3409 0.4462